# Na4LiV3O8

Na4LiV3O8 after structural relaxation (PBE+U, Alexandria).

Calculated values
Total energy: -100.3 eV for the cell shown
Crystal system: monoclinic
Symmetry: C2/m, No. 12

Lattice parameters (Å, degrees): 6.103 6.397 6.052 118.03 120.28 90.00
Last column: magnetic moment on the atom in μB.
Positions (direct):
O  0.758  0.302  0.517  0.00
O  0.707  0.693  0.939  -0.04
V  0.000  0.500  0.500  1.06
O  0.769  0.307  0.061  -0.04
Na  0.000  0.000  0.500  0.00
V  0.500  0.500  0.500  1.06
Na  0.500  0.000  0.000  0.00
O  0.231  0.693  0.939  -0.04
Na  0.000  0.000  0.000  0.00
O  0.293  0.307  0.061  -0.04
O  0.258  0.292  0.516  0.01
V  0.500  0.500  0.000  1.86
O  0.742  0.708  0.484  0.01
Li  0.000  0.500  0.000  0.00
O  0.242  0.698  0.483  0.00
Na  0.500  0.000  0.500  0.00